The following is a DFT calculation (PBE) of a relaxed Ba2AuO crystal.

The space group is I-42d (No. 122) and the conventional cell measures 7.588, 7.588 and 9.256 Å, with angles of 90.00, 90.00 and 90.00 degrees. The distinct sites, in fractional coordinates, are Ba at (0.169, 0.250, 0.125), Au at (0.000, 0.000, 0.500) and O at (0.000, 0.000, 0.000).

As for the energy relative to the elements, uncorrected: -5.916 eV per formula unit.

The following is a DFT calculation (PBE) of a relaxed BaAuO crystal.

The space group is C2/m (No. 12) and the conventional cell measures 14.061, 4.291 and 5.404 Å, with angles of 90.00, 95.59 and 90.00 degrees. The distinct sites, in fractional coordinates, are Ba at (0.144, 0.000, 0.336), Au at (0.065, 0.500, 0.844) and O at (0.174, 0.500, 0.605).

As for the energy relative to the elements, uncorrected: -4.615 eV per formula unit.

The following is a DFT calculation (PBE) of a relaxed Ba2AuO2 crystal.

The space group is I4/mmm (No. 139) and the conventional cell measures 5.416, 5.416 and 9.569 Å, with angles of 90.00, 90.00 and 90.00 degrees. The distinct sites, in fractional coordinates, are Ba at (0.000, 0.500, 0.250), Au at (0.000, 0.000, 0.000) and O at (0.000, 0.000, 0.217).

As for the energy relative to the elements, uncorrected: -8.382 eV per formula unit.

The following is a DFT calculation (PBE) of a relaxed BaAuO crystal.

The space group is P1 (No. 1) and the conventional cell measures 3.825, 3.825 and 10.144 Å, with angles of 100.77, 100.56 and 90.00 degrees. The distinct sites, in fractional coordinates, are Ba at (0.000, 0.000, 0.000), Ba at (0.351, 0.348, 0.693), Au at (0.173, 0.686, 0.347), Au at (0.673, 0.186, 0.347), O at (0.481, 0.480, 0.960) and O at (0.871, 0.868, 0.733).

As for the energy relative to the elements, uncorrected: -4.460 eV per formula unit.

The following is a DFT calculation (PBE) of a relaxed Ba4AuO crystal.

The space group is P2_1/m (No. 11) and the conventional cell measures 6.836, 10.915 and 7.824 Å, with angles of 90.00, 110.53 and 90.00 degrees. The distinct sites, in fractional coordinates, are Ba at (0.120, 0.250, 0.223), Ba at (0.180, 0.750, 0.412), Ba at (0.361, 0.064, 0.748), Au at (0.420, 0.750, 0.874) and O at (0.178, 0.250, 0.567).

As for the energy relative to the elements, uncorrected: -6.132 eV per formula unit.

The following is a DFT calculation (PBE) of a relaxed BaAu3O crystal.

The space group is Pm-3m (No. 221) and the conventional cell measures 4.814, 4.814 and 4.814 Å, with angles of 90.00, 90.00 and 90.00 degrees. The distinct sites, in fractional coordinates, are Ba at (0.000, 0.000, 0.000), Au at (0.000, 0.500, 0.500) and O at (0.500, 0.500, 0.500).

As for the energy relative to the elements, uncorrected: -0.353 eV per formula unit.

The following is a DFT calculation (PBE) of a relaxed BaAuO2 crystal.

The space group is C2/m (No. 12) and the conventional cell measures 7.448, 10.334 and 3.931 Å, with angles of 90.00, 90.27 and 90.00 degrees. The distinct sites, in fractional coordinates, are Ba at (0.250, 0.250, 0.000), Au at (0.000, 0.000, 0.500), Au at (0.000, 0.500, 0.500), O at (0.000, 0.199, 0.500) and O at (0.247, 0.500, 0.272).

As for the energy relative to the elements, uncorrected: -5.712 eV per formula unit.

The following is a DFT calculation (PBE) of a relaxed Ba3AuO5 crystal.

The space group is I4/mcm (No. 140) and the conventional cell measures 7.293, 7.293 and 12.994 Å, with angles of 90.00, 90.00 and 90.00 degrees. The distinct sites, in fractional coordinates, are Ba at (0.000, 0.000, 0.250), Ba at (0.174, 0.326, 0.000), Au at (0.000, 0.500, 0.250), O at (0.000, 0.000, 0.000) and O at (0.138, 0.362, 0.365).

As for the energy relative to the elements, uncorrected: -14.263 eV per formula unit.